Record 1
KP2WO8 after structural relaxation. Source: the Alexandria database, functional GGA-PBEsol.

Summary:
Formation energy (no corrections), eV per atom: -2.17

a b c (Å): 5.082 11.834 12.582
angles (deg): 90.00 112.66 90.00
Space group P2_1/c (No. 14)
Asymmetric unit:
K  0.180  0.129  0.449 (multiplicity 4)
P  0.111  0.065  0.867 (multiplicity 4)
P  0.114  0.694  0.849 (multiplicity 4)
W  0.408  0.119  0.167 (multiplicity 4)
O  0.049  0.211  0.119 (multiplicity 4)
O  0.068  0.176  0.788 (multiplicity 4)
O  0.139  0.588  0.915 (multiplicity 4)
O  0.189  0.528  0.645 (multiplicity 4)
O  0.249  0.526  0.320 (multiplicity 4)
O  0.293  0.107  0.986 (multiplicity 4)
O  0.407  0.738  0.856 (multiplicity 4)
O  0.499  0.131  0.313 (multiplicity 4)

Record 2
As2OsAuBr after structural relaxation. Source: the Alexandria database, functional GGA-PBEsol.

Summary:
D(E_F), states/eV per cell: 2.4
Formation energy (no corrections), eV per atom: 0.77

a b c (Å): 4.646 4.646 5.290
angles (deg): 90.00 90.00 90.00
Space group P4/mmm (No. 123)
Asymmetric unit:
As  0.000  0.500  0.000 (multiplicity 2)
Os  0.000  0.000  0.000 (multiplicity 1)
Au  0.500  0.500  0.500 (multiplicity 1)
Br  0.000  0.000  0.500 (multiplicity 1)

Record 3
Nd2Te3MoO12 after structural relaxation. Source: the Alexandria database, functional GGA-PBEsol.

Summary:
D(E_F), states/eV per cell: 0.0
Formation energy (no corrections), eV per atom: -2.02

a b c (Å): 17.512 11.257 5.315
angles (deg): 90.00 90.00 90.00
Space group Pnma (No. 62)
Asymmetric unit:
Nd  0.063  0.077  0.246 (multiplicity 8)
Te  0.050  0.750  0.287 (multiplicity 4)
Te  0.175  0.589  0.728 (multiplicity 8)
Mo  0.180  0.250  0.737 (multiplicity 4)
O  0.012  0.616  0.104 (multiplicity 8)
O  0.038  0.250  0.495 (multiplicity 4)
O  0.075  0.569  0.586 (multiplicity 8)
O  0.121  0.250  0.015 (multiplicity 4)
O  0.148  0.750  0.861 (multiplicity 4)
O  0.164  0.512  0.035 (multiplicity 8)
O  0.174  0.120  0.544 (multiplicity 8)
O  0.229  0.750  0.359 (multiplicity 4)

Record 4
NbSb3Se after structural relaxation. Source: the Alexandria database, functional GGA-PBEsol.

Summary:
D(E_F), states/eV per cell: 5.5
Formation energy (no corrections), eV per atom: 1.07

a b c (Å): 5.185 5.185 5.185
angles (deg): 90.00 90.00 90.00
Space group Pm-3m (No. 221)
Asymmetric unit:
Nb  0.000  0.000  0.000 (multiplicity 1)
Sb  0.000  0.500  0.500 (multiplicity 3)
Se  0.500  0.500  0.500 (multiplicity 1)

Record 5
MgCo2N2 after structural relaxation. Source: the Alexandria database, functional GGA-PBEsol.

Summary:
D(E_F), states/eV per cell: 8.3
Formation energy (no corrections), eV per atom: 0.09

a b c (Å): 3.556 3.556 7.614
angles (deg): 90.00 90.00 90.00
Space group I4/mmm (No. 139)
Asymmetric unit:
Mg  0.000  0.000  0.000 (multiplicity 2)
Co  0.000  0.000  0.339 (multiplicity 4)
N  0.000  0.500  0.250 (multiplicity 4)

Record 6
Sb2PN after structural relaxation. Source: the Alexandria database, functional GGA-PBEsol.

Summary:
D(E_F), states/eV per cell: 7.2
Formation energy (no corrections), eV per atom: 0.93

a b c (Å): 6.458 6.458 6.458
angles (deg): 90.00 90.00 90.00
Space group Fm-3m (No. 225)
Asymmetric unit:
Sb  0.250  0.250  0.250 (multiplicity 8)
P  0.000  0.000  0.000 (multiplicity 4)
N  0.000  0.000  0.500 (multiplicity 4)

Record 7
CaZnGe after structural relaxation. Source: the Alexandria database, functional GGA-PBEsol.

Summary:
Formation energy, meV per atom: -555
D(E_F), states/eV per cell: 0.5

a b c (Å): 4.2497 4.2497 8.0144
angles (deg): 90.00 90.00 120.00
Space group P6_3/mmc (No. 194)
Asymmetric unit:
Ca  0.0000  0.0000  0.0000 (multiplicity 2)
Zn  0.3333  0.6667  0.2500 (multiplicity 2)
Ge  0.3333  0.6667  0.7500 (multiplicity 2)

Record 8
La3TlRu after structural relaxation. Source: the Alexandria database, functional GGA-PBEsol.

Summary:
Formation energy, meV per atom: -364
D(E_F), states/eV per cell: 6.7
Polymorph energy (0 for the lowest one), kJ/mol of formula units: 0

a b c (Å): 7.5172 7.5172 5.8469
angles (deg): 90.00 90.00 120.00
Space group P6_3/m (No. 176)
Asymmetric unit:
La  0.1503  0.7894  0.2500 (multiplicity 6)
Tl  0.3333  0.6667  0.7500 (multiplicity 2)
Ru  0.0000  0.0000  0.0000 (multiplicity 2)

Record 9
OsRhIN2 after structural relaxation. Source: the Alexandria database, functional GGA-PBEsol.

Summary:
D(E_F), states/eV per cell: 4.0
Formation energy (no corrections), eV per atom: 1.81
Polymorph energy (0 for the lowest one), kJ/mol of formula units: 419

a b c (Å): 3.719 3.719 6.294
angles (deg): 90.00 90.00 90.00
Space group P4/mmm (No. 123)
Asymmetric unit:
Os  0.000  0.000  0.000 (multiplicity 1)
Rh  0.500  0.500  0.500 (multiplicity 1)
I  0.500  0.500  0.000 (multiplicity 1)
N  0.000  0.500  0.500 (multiplicity 2)

Record 10
NbCuRe3 after structural relaxation. Source: the Alexandria database, functional GGA-PBEsol.

Summary:
Formation energy, meV per atom: 2756
D(E_F), states/eV per cell: 8.5

a b c (Å): 4.679 4.679 4.679
angles (deg): 90.00 90.00 90.00
Space group Pm-3m (No. 221)
Asymmetric unit:
Nb  0.000  0.000  0.000 (multiplicity 1)
Cu  0.500  0.500  0.500 (multiplicity 1)
Re  0.000  0.000  0.500 (multiplicity 3)

Record 11
CoSbTe2P after structural relaxation. Source: the Alexandria database, functional GGA-PBEsol.

Summary:
D(E_F), states/eV per cell: 5.6
Formation energy (no corrections), eV per atom: 0.60

a b c (Å): 4.933 4.933 4.723
angles (deg): 90.00 90.00 90.00
Space group P4/mmm (No. 123)
Asymmetric unit:
Co  0.000  0.000  0.000 (multiplicity 1)
Sb  0.000  0.000  0.500 (multiplicity 1)
Te  0.000  0.500  0.000 (multiplicity 2)
P  0.500  0.500  0.500 (multiplicity 1)

Record 12
TaPCl2 after structural relaxation. Source: the Alexandria database, functional GGA-PBEsol.

Summary:
D(E_F), states/eV per cell: 2.8
Formation energy (no corrections), eV per atom: 0.28
Polymorph energy (0 for the lowest one), kJ/mol of formula units: 315

a b c (Å): 2.926 4.426 4.958
angles (deg): 90.00 90.00 90.00
Space group Pmmm (No. 47)
Asymmetric unit:
Ta  0.000  0.000  0.000 (multiplicity 1)
P  0.500  0.000  0.500 (multiplicity 1)
Cl  0.000  0.500  0.500 (multiplicity 1)
Cl  0.500  0.500  0.000 (multiplicity 1)

Number 1: total magnetic moment 1.000 μB/f.u., total DFT energy (no corrections) -7.8753 eV per atom. Number 2: total magnetic moment 0.000 μB/f.u., total DFT energy (no corrections) -4.8710 eV per atom. Number 3: total magnetic moment 0.000 μB/f.u., total DFT energy (no corrections) -7.3395 eV per atom. Number 4: total magnetic moment 2.411 μB/f.u., total DFT energy (no corrections) -4.5974 eV per atom. Number 5: total magnetic moment 0.000 μB/f.u., total DFT energy (no corrections) -6.7597 eV per atom. Number 6: total magnetic moment 0.001 μB/f.u., total DFT energy (no corrections) -4.9266 eV per atom. Number 7: total magnetic moment 0.000 μB/f.u., total DFT energy (no corrections) -3.4398 eV per atom. Number 8: total magnetic moment 0.000 μB/f.u., total DFT energy (no corrections) -6.1327 eV per atom. Number 9: total magnetic moment 1.300 μB/f.u., total DFT energy (no corrections) -6.0280 eV per atom. Number 10: total magnetic moment 0.495 μB/f.u., total DFT energy (no corrections) -8.2740 eV per atom. Number 11: total magnetic moment 0.001 μB/f.u., total DFT energy (no corrections) -4.4310 eV per atom. Number 12: total magnetic moment 0.000 μB/f.u., total DFT energy (no corrections) -5.3139 eV per atom.